(1)
Below is an optimized crystal structure of CsAcSeO5, with properties calculated at the GGA-PBE level.

POSCAR file:
```
CsAcSeO5
1.0
4.115 -5.489 0.000
4.115 5.489 0.000
-3.825 0.000 7.709
Cs Ac Se O
2 2 2 10
direct
0.169 0.831 0.750
0.831 0.169 0.250
0.500 0.500 0.000
0.500 0.500 0.500
0.187 0.813 0.250
0.813 0.187 0.750
0.067 0.262 0.890
0.196 0.644 0.360
0.262 0.067 0.390
0.356 0.804 0.140
0.426 0.574 0.750
0.574 0.426 0.250
0.644 0.196 0.860
0.738 0.933 0.610
0.804 0.356 0.640
0.933 0.738 0.110
```

Properties
space group = C2/c (15)
calculated density = 4.95 g/cm³
energy relative to the elements, uncorrected = -172.9 kJ/mol of atoms
DFT total energy = -5.947 eV/atom


(2)
Below is an optimized crystal structure of Cs2AcSe2O6, with properties calculated at the GGA-PBE level.

POSCAR file:
```
Cs2AcSe2O6
1.0
5.472 -3.248 0.000
5.472 3.248 0.000
-3.017 0.000 7.546
Cs Ac Se O
2 1 2 6
direct
0.233 0.233 0.233
0.767 0.767 0.767
0.500 0.500 0.000
0.084 0.084 0.719
0.916 0.916 0.281
0.170 0.731 0.176
0.258 0.258 0.833
0.269 0.830 0.824
0.731 0.170 0.176
0.742 0.742 0.167
0.830 0.269 0.824
```

Properties
space group = C2/m (12)
calculated density = 4.62 g/cm³
energy relative to the elements, uncorrected = -153.3 kJ/mol of atoms
DFT total energy = -5.456 eV/atom


(3)
Below is an optimized crystal structure of Cs2AcSeO6, with properties calculated at the GGA-PBE level.

POSCAR file:
```
Cs2AcSeO6
1.0
6.825 0.000 0.000
-3.412 5.910 0.000
0.000 0.000 6.245
Cs Ac Se O
2 1 1 6
direct
0.333 0.667 0.395
0.667 0.333 0.605
0.000 0.000 0.000
0.000 0.000 0.500
0.126 0.251 0.674
0.126 0.874 0.674
0.251 0.126 0.326
0.749 0.874 0.674
0.874 0.126 0.326
0.874 0.749 0.326
```

Properties
space group = P-3m1 (164)
calculated density = 4.40 g/cm³
energy relative to the elements, uncorrected = -142.4 kJ/mol of atoms
DFT total energy = -5.380 eV/atom


(4)
Below is an optimized crystal structure of CsAcSi2O6, with properties calculated at the GGA-PBE level.

POSCAR file:
```
CsAcSi2O6
1.0
5.464 -5.471 0.000
5.464 5.471 0.000
-0.691 0.000 5.410
Cs Ac Si O
2 2 4 12
direct
0.161 0.839 0.750
0.839 0.161 0.250
0.371 0.629 0.250
0.629 0.371 0.750
0.150 0.308 0.791
0.308 0.150 0.291
0.692 0.850 0.709
0.850 0.692 0.209
0.052 0.639 0.242
0.179 0.189 0.036
0.189 0.179 0.536
0.304 0.457 0.832
0.361 0.948 0.258
0.457 0.304 0.332
0.543 0.696 0.668
0.639 0.052 0.742
0.696 0.543 0.168
0.811 0.821 0.464
0.821 0.811 0.964
0.948 0.361 0.758
```

Properties
space group = C2/c (15)
calculated density = 5.26 g/cm³
energy relative to the elements, uncorrected = -271.8 kJ/mol of atoms
DFT total energy = -7.373 eV/atom


(5)
Below is an optimized crystal structure of Cs2AcSiO4, with properties calculated at the GGA-PBE level.

POSCAR file:
```
Cs2AcSiO4
1.0
0.000 6.572 13.195
3.055 0.000 13.195
3.055 6.572 0.000
Cs Ac Si O
4 2 2 8
direct
0.059 0.059 0.691
0.309 0.309 0.941
0.691 0.691 0.059
0.941 0.941 0.309
0.125 0.125 0.125
0.875 0.875 0.875
0.375 0.375 0.375
0.625 0.625 0.625
0.098 0.586 0.503
0.313 0.503 0.586
0.414 0.902 0.687
0.497 0.687 0.902
0.503 0.313 0.098
0.586 0.098 0.313
0.687 0.497 0.414
0.902 0.414 0.497
```

Properties
space group = Fddd (70)
calculated density = 3.67 g/cm³
energy relative to the elements, uncorrected = -206.7 kJ/mol of atoms
DFT total energy = -6.026 eV/atom


(6)
Below is an optimized crystal structure of Cs2AcSi2O6, with properties calculated at the GGA-PBE level.

POSCAR file:
```
Cs2AcSi2O6
1.0
3.141 1.813 6.291
-3.141 1.813 6.291
0.000 -3.627 6.291
Cs Ac Si O
2 1 2 6
direct
0.219 0.219 0.219
0.781 0.781 0.781
0.000 0.000 0.000
0.429 0.429 0.429
0.571 0.571 0.571
0.265 0.265 0.703
0.265 0.703 0.265
0.297 0.735 0.735
0.703 0.265 0.265
0.735 0.297 0.735
0.735 0.735 0.297
```

Properties
space group = R-3m (166)
calculated density = 4.98 g/cm³
energy relative to the elements, uncorrected = -242.4 kJ/mol of atoms
DFT total energy = -6.732 eV/atom


(7)
Below is an optimized crystal structure of Cs2AcSmO4, with properties calculated at the GGA-PBE level.

POSCAR file:
```
Cs2AcSmO4
1.0
6.559 0.000 0.000
0.000 3.780 0.000
-2.186 0.000 6.974
Cs Ac Sm O
2 1 1 4
direct
0.000 0.000 0.000
0.500 0.500 0.000
0.000 0.500 0.500
0.500 0.000 0.500
0.239 0.000 0.671
0.288 0.500 0.330
0.712 0.500 0.670
0.761 0.000 0.329
```

Properties
space group = P2/m (10)
calculated density = 6.79 g/cm³
energy relative to the elements, uncorrected = -242.3 kJ/mol of atoms
DFT total energy = -6.307 eV/atom


(8)
Below is an optimized crystal structure of Cs2AcSn2O7, with properties calculated at the GGA-PBE level.

POSCAR file:
```
Cs2AcSn2O7
1.0
-2.093 2.093 12.042
2.093 -2.093 12.042
2.093 2.093 -12.042
Cs Ac Sn O
2 1 2 7
direct
0.189 0.189 0.000
0.811 0.811 0.000
0.000 0.000 0.000
0.412 0.412 0.000
0.588 0.588 0.000
0.074 0.574 0.500
0.328 0.328 0.000
0.426 0.926 0.500
0.500 0.500 0.000
0.574 0.074 0.500
0.672 0.672 0.000
0.926 0.426 0.500
```

Properties
space group = I4/mmm (139)
calculated density = 6.63 g/cm³
energy relative to the elements, uncorrected = -180.8 kJ/mol of atoms
DFT total energy = -5.918 eV/atom